Version i
# KVPt2

Crystalline KVPt2 at its relaxed geometry (PBE-GGA, Alexandria via LeMat-Bulk).

## Properties
The calculation puts the magnetic moment at 0.447 μB/atom. Its density of states at the Fermi level is 4.291 states/eV/f.u.

extended XYZ file:
```
8
Lattice="-5.462 3.928 -3.446 1.026 -4.082 -6.278 -4.449 -2.257 -3.810" Properties=species:S:1:pos:R:3 pbc="T T T"
Pt -7.130 -2.177 -11.903
Pt -0.687 -2.960 -5.013
K -2.820 -3.208 -7.475
V 0.000 0.000 0.000
V -6.064 0.797 -6.059
Pt -4.864 1.716 -4.186
Pt -5.088 -1.402 -5.968
K -2.218 -0.077 -4.862
```

Version ii
# KVPt2

Crystalline KVPt2 at its relaxed geometry (PBE-GGA, Alexandria via LeMat-Bulk).

## Properties
The calculation puts the magnetic moment at 0.502 μB/atom. Its density of states at the Fermi level is 4.878 states/eV/f.u.

extended XYZ file:
```
4
Lattice="-3.656 -2.960 -0.286 -2.323 -1.260 3.902 -4.376 1.580 0.751" Properties=species:S:1:pos:R:3 pbc="T T T"
Pt -2.589 -0.660 1.092
V -5.177 -1.319 2.183
Pt -7.766 -1.979 3.275
K 0.000 0.000 0.000
```

Relative energy table, unit eV/atom: version i 0.000; version ii 0.142

Version i
# KPt2W

Crystalline KPt2W at its relaxed geometry (PBE-GGA, Alexandria via LeMat-Bulk).

## Properties
The calculation puts the magnetic moment at 0.252 μB/atom. Its density of states at the Fermi level is 2.872 states/eV/f.u.

extended XYZ file:
```
8
Lattice="7.644 0.000 0.000 0.000 7.644 0.000 3.822 3.822 3.486" Properties=species:S:1:pos:R:3 pbc="T T T"
W 0.000 0.000 0.000
Pt 5.733 5.091 2.615
Pt 1.269 5.733 0.872
K 3.822 7.644 1.743
Pt 6.375 1.911 0.872
Pt 9.555 10.197 2.615
K 3.822 3.822 0.000
W 7.644 3.822 1.743
```

Version ii
# KPt2W

Crystalline KPt2W at its relaxed geometry (PBE-GGA, Alexandria via LeMat-Bulk).

## Properties
The calculation puts the magnetic moment at 0.000 μB/atom. Its density of states at the Fermi level is 4.539 states/eV/f.u.

extended XYZ file:
```
4
Lattice="0.000 3.321 3.321 3.321 0.000 3.321 3.321 3.321 0.000" Properties=species:S:1:pos:R:3 pbc="T T T"
Pt 1.660 1.660 1.660
K 0.000 0.000 0.000
W 3.321 3.321 3.321
Pt 4.981 4.981 4.981
```

Version iii
# KPt2W

Crystalline KPt2W at its relaxed geometry (PBE-GGA, Alexandria via LeMat-Bulk).

## Properties
The calculation puts the magnetic moment at 0.000 μB/atom. Its density of states at the Fermi level is 3.229 states/eV/f.u.

extended XYZ file:
```
4
Lattice="-0.399 -3.856 -0.938 1.192 -2.550 -2.825 6.753 -2.153 4.204" Properties=species:S:1:pos:R:3 pbc="T T T"
K 1.886 -2.140 0.110
Pt 6.325 -2.048 3.916
W 5.659 -6.420 0.331
Pt 4.201 -4.385 0.509
```

Relative energy table, unit eV/atom: version i 0.523; version ii 0.645; version iii 0.000

Version i
# KPt2W

Crystalline KPt2W at its relaxed geometry (PBE-GGA, Alexandria via LeMat-Bulk).

## Properties
The calculation puts the magnetic moment at 0.000 μB/atom. Its density of states at the Fermi level is 2.598 states/eV/f.u.

extended XYZ file:
```
4
Lattice="2.792 0.054 0.000 -0.061 2.792 0.000 0.000 0.000 9.858" Properties=species:S:1:pos:R:3 pbc="T T T"
Pt 1.366 1.423 2.457
W 0.000 0.000 4.354
Pt 0.000 0.000 0.340
K 1.366 1.423 7.636
```

Version ii
# KPt2W

Crystalline KPt2W at its relaxed geometry (PBE-GGA, Alexandria via LeMat-Bulk).

## Properties
The calculation puts the magnetic moment at 0.181 μB/atom. Its density of states at the Fermi level is 4.463 states/eV/f.u.

extended XYZ file:
```
4
Lattice="5.669 -0.011 0.003 1.687 5.412 -0.003 -2.797 -3.900 3.017" Properties=species:S:1:pos:R:3 pbc="T T T"
Pt 6.922 5.083 0.000
W 3.275 -0.605 1.510
Pt 4.112 3.020 0.000
K 1.284 2.107 1.507
```

Relative energy table, unit eV/atom: version i 0.000; version ii 0.327

Version i
# KPt2W

Crystalline KPt2W at its relaxed geometry (PBE-GGA, Alexandria via LeMat-Bulk).

## Properties
The calculation puts the magnetic moment at 0.000 μB/atom. Its density of states at the Fermi level is 3.863 states/eV/f.u.

extended XYZ file:
```
4
Lattice="-0.233 -2.451 -1.198 3.946 -0.942 1.160 -2.604 -2.922 6.484" Properties=species:S:1:pos:R:3 pbc="T T T"
Pt 1.155 -2.484 1.728
K -0.149 -3.947 4.974
Pt -0.169 -0.189 0.420
W -1.031 -1.157 2.567
```

Version ii
# KPt2W

Crystalline KPt2W at its relaxed geometry (PBE-GGA, Alexandria via LeMat-Bulk).

## Properties
The calculation puts the magnetic moment at 0.108 μB/atom. Its density of states at the Fermi level is 3.523 states/eV/f.u.

extended XYZ file:
```
4
Lattice="-2.594 -1.319 -1.503 0.772 -2.932 1.239 -4.605 1.566 6.575" Properties=species:S:1:pos:R:3 pbc="T T T"
Pt -0.310 0.106 0.443
W -1.856 0.631 2.650
Pt -2.111 -1.717 1.581
K -4.452 -0.922 4.923
```

Version iii
# KPt2W

Crystalline KPt2W at its relaxed geometry (PBE-GGA, Alexandria via LeMat-Bulk).

## Properties
The calculation puts the magnetic moment at 0.000 μB/atom. Its density of states at the Fermi level is 2.259 states/eV/f.u.

extended XYZ file:
```
4
Lattice="-3.489 -1.964 4.768 -3.423 -5.200 0.092 5.321 3.217 -0.315" Properties=species:S:1:pos:R:3 pbc="T T T"
Pt -6.718 -6.962 4.723
Pt -0.739 -1.088 3.390
K -0.790 -2.793 1.111
W -3.713 -3.848 2.611
```

Version iv
# KPt2W

Crystalline KPt2W at its relaxed geometry (PBE-GGA, Alexandria via LeMat-Bulk).

## Properties
The calculation puts the magnetic moment at 0.000 μB/atom. Its density of states at the Fermi level is 3.566 states/eV/f.u.

extended XYZ file:
```
4
Lattice="5.217 -0.019 0.000 2.073 4.787 0.000 -3.645 -2.384 2.871" Properties=species:S:1:pos:R:3 pbc="T T T"
Pt 0.000 0.000 0.000
K 2.608 -0.009 1.436
Pt 1.037 2.394 1.436
W 3.645 2.384 0.000
```

Relative energy table, unit eV/atom: version i 0.000; version ii 0.178; version iii 0.008; version iv 0.579

Version i
# KPtW

Crystalline KPtW at its relaxed geometry (PBE-GGA, Alexandria via LeMat-Bulk).

## Properties
The calculation puts the magnetic moment at 1.443 μB/atom. Its density of states at the Fermi level is 2.662 states/eV/f.u.

extended XYZ file:
```
3
Lattice="4.793 0.000 0.000 2.396 4.151 0.000 2.396 1.384 3.913" Properties=species:S:1:pos:R:3 pbc="T T T"
Pt 0.000 0.000 0.000
K 7.189 4.151 2.935
W 4.793 2.767 1.957
```

Version ii
# KPtW

Crystalline KPtW at its relaxed geometry (PBE-GGA, Alexandria via LeMat-Bulk).

## Properties
The calculation puts the magnetic moment at 0.000 μB/atom. Its density of states at the Fermi level is 3.488 states/eV/f.u.

extended XYZ file:
```
3
Lattice="-3.430 3.326 -6.179 -4.832 -0.585 -6.108 2.542 -0.779 7.344" Properties=species:S:1:pos:R:3 pbc="T T T"
Pt -2.566 0.851 -3.816
K -8.169 2.710 -12.149
W -5.789 1.921 -8.610
```

Relative energy table, unit eV/atom: version i 1.925; version ii 0.000

Version i
# KPtW

Crystalline KPtW at its relaxed geometry (PBE-GGA, Alexandria via LeMat-Bulk).

## Properties
The calculation puts the magnetic moment at 0.000 μB/atom. Its density of states at the Fermi level is 3.658 states/eV/f.u.

extended XYZ file:
```
3
Lattice="-2.596 3.974 1.548 -1.572 -2.627 -3.944 -1.467 -1.602 1.652" Properties=species:S:1:pos:R:3 pbc="T T T"
W -2.648 -1.229 -1.286
Pt -2.988 0.973 0.543
K -1.467 -1.602 1.652
```

Version ii
# KPtW

Crystalline KPtW at its relaxed geometry (PBE-GGA, Alexandria via LeMat-Bulk).

## Properties
The calculation puts the magnetic moment at 0.000 μB/atom. Its density of states at the Fermi level is 2.478 states/eV/f.u.

extended XYZ file:
```
3
Lattice="6.747 0.011 -0.007 4.853 4.687 0.007 -5.408 -3.315 2.297" Properties=species:S:1:pos:R:3 pbc="T T T"
W 8.368 3.389 0.000
Pt 3.284 1.330 0.000
K 11.547 4.676 0.000
```

Relative energy table, unit eV/atom: version i 0.676; version ii 0.000

Version i
# KY2Pt

Crystalline KY2Pt at its relaxed geometry (PBE-GGA, Alexandria via LeMat-Bulk).

## Properties
The calculation puts the magnetic moment at 0.000 μB/atom. Its density of states at the Fermi level is 4.518 states/eV/f.u.

extended XYZ file:
```
4
Lattice="5.310 0.000 0.000 2.655 4.599 0.000 2.655 1.533 4.336" Properties=species:S:1:pos:R:3 pbc="T T T"
Y 0.000 0.000 0.000
Y 2.655 1.533 1.084
Pt 7.965 4.599 3.252
K 5.310 3.066 2.168
```

Version ii
# KY2Pt

Crystalline KY2Pt at its relaxed geometry (PBE-GGA, Alexandria via LeMat-Bulk).

## Properties
The calculation puts the magnetic moment at 0.195 μB/atom. Its density of states at the Fermi level is 3.639 states/eV/f.u.

extended XYZ file:
```
4
Lattice="-9.083 -2.320 5.843 -10.290 -3.240 2.373 -8.330 -5.749 4.423" Properties=species:S:1:pos:R:3 pbc="T T T"
Y -0.574 -0.234 0.262
Y -7.229 -2.951 3.298
Pt -20.447 -8.346 9.329
K -13.305 -5.431 6.070
```

Relative energy table, unit eV/atom: version i 0.441; version ii 0.000

Version i
# KY2Pt

Crystalline KY2Pt at its relaxed geometry (PBE-GGA, Alexandria via LeMat-Bulk).

## Properties
The calculation puts the magnetic moment at 0.000 μB/atom. Its density of states at the Fermi level is 5.360 states/eV/f.u.

extended XYZ file:
```
4
Lattice="5.065 0.001 0.000 -0.009 5.065 0.000 0.000 0.000 4.075" Properties=species:S:1:pos:R:3 pbc="T T T"
Y 2.528 2.533 0.000
K 2.532 0.001 2.038
Y 0.000 0.000 0.000
Pt -0.004 2.532 2.038
```

Version ii
# KY2Pt

Crystalline KY2Pt at its relaxed geometry (PBE-GGA, Alexandria via LeMat-Bulk).

## Properties
The calculation puts the magnetic moment at 0.033 μB/atom. Its density of states at the Fermi level is 3.752 states/eV/f.u.

extended XYZ file:
```
4
Lattice="3.946 0.000 0.000 0.000 3.946 0.000 0.000 0.000 9.220" Properties=species:S:1:pos:R:3 pbc="T T T"
Pt 1.973 1.973 8.025
Y 0.000 0.000 8.528
K 0.000 0.000 4.911
Y 1.973 1.973 1.585
```

Relative energy table, unit eV/atom: version i 0.415; version ii 0.000

Version i
# K2YPt

Crystalline K2YPt at its relaxed geometry (PBE-GGA, Alexandria via LeMat-Bulk).

## Properties
The calculation puts the magnetic moment at 0.000 μB/atom. Its density of states at the Fermi level is 3.146 states/eV/f.u.

extended XYZ file:
```
4
Lattice="3.856 0.000 0.000 0.000 4.100 0.131 0.000 1.774 10.427" Properties=species:S:1:pos:R:3 pbc="T T T"
K 0.000 2.046 9.764
Y 1.928 4.177 6.753
K 1.928 2.223 3.393
Pt 0.000 2.138 6.353
```

Version ii
# K2YPt

Crystalline K2YPt at its relaxed geometry (PBE-GGA, Alexandria via LeMat-Bulk).

## Properties
The calculation puts the magnetic moment at 0.000 μB/atom. Its density of states at the Fermi level is 2.909 states/eV/f.u.

extended XYZ file:
```
4
Lattice="6.490 0.007 0.000 -3.884 5.199 0.000 0.000 0.000 3.856" Properties=species:S:1:pos:R:3 pbc="T T T"
Pt 3.245 0.004 1.928
K 0.000 0.000 0.000
Y -1.942 2.600 1.928
K 1.303 2.603 0.000
```

Relative energy table, unit eV/atom: version i 0.000; version ii 0.683

Version i
# K2YPt

Crystalline K2YPt at its relaxed geometry (PBE-GGA, Alexandria via LeMat-Bulk).

## Properties
The calculation puts the magnetic moment at 0.000 μB/atom. Its density of states at the Fermi level is 3.212 states/eV/f.u.

extended XYZ file:
```
4
Lattice="4.050 0.000 0.000 0.000 5.446 0.000 0.000 0.000 5.947" Properties=species:S:1:pos:R:3 pbc="T T T"
K 0.000 0.000 2.854
Pt 2.025 2.723 1.487
Y 2.025 2.723 4.460
K 0.000 0.000 0.120
```

Version ii
# K2YPt

Crystalline K2YPt at its relaxed geometry (PBE-GGA, Alexandria via LeMat-Bulk).

## Properties
The calculation puts the magnetic moment at 0.000 μB/atom. Its density of states at the Fermi level is 2.379 states/eV/f.u.

extended XYZ file:
```
4
Lattice="-2.680 2.772 1.967 0.429 -2.208 3.697 4.907 3.617 1.591" Properties=species:S:1:pos:R:3 pbc="T T T"
Y 2.668 0.704 2.644
K 0.000 0.000 0.000
K -1.126 0.282 2.832
Pt 1.113 3.194 1.779
```

Version iii
# K2YPt

Crystalline K2YPt at its relaxed geometry (PBE-GGA, Alexandria via LeMat-Bulk).

## Properties
The calculation puts the magnetic moment at 0.000 μB/atom. Its density of states at the Fermi level is 2.654 states/eV/f.u.

extended XYZ file:
```
4
Lattice="4.218 -0.003 0.016 2.135 3.638 0.016 1.800 1.030 11.211" Properties=species:S:1:pos:R:3 pbc="T T T"
K 1.956 1.119 3.812
Pt 4.059 2.322 6.031
K 1.848 1.057 10.906
Y 6.166 3.528 7.324
```

Version iv
# K2YPt

Crystalline K2YPt at its relaxed geometry (PBE-GGA, Alexandria via LeMat-Bulk).

## Properties
The calculation puts the magnetic moment at 0.000 μB/atom. Its density of states at the Fermi level is 2.432 states/eV/f.u.

extended XYZ file:
```
4
Lattice="-6.496 -1.815 3.531 -5.254 -4.355 -3.374 7.024 0.970 2.772" Properties=species:S:1:pos:R:3 pbc="T T T"
Y -3.071 -3.770 -0.248
K -1.868 -1.542 3.180
Pt -5.548 -2.913 0.074
K -0.114 -0.060 0.002
```

Relative energy table, unit eV/atom: version i 0.603; version ii 0.326; version iii 0.000; version iv 0.186

Version i
# K2YPt

Crystalline K2YPt at its relaxed geometry (PBE-GGA, Alexandria via LeMat-Bulk).

## Properties
The calculation puts the magnetic moment at 0.000 μB/atom. Its density of states at the Fermi level is 4.108 states/eV/f.u.

extended XYZ file:
```
4
Lattice="5.430 -0.048 0.000 0.015 5.430 0.000 -2.722 -2.691 3.851" Properties=species:S:1:pos:R:3 pbc="T T T"
Pt 2.722 2.691 0.000
Y 2.715 -0.024 1.926
K 0.000 0.000 0.000
K 0.007 2.715 1.926
```

Version ii
# K2YPt

Crystalline K2YPt at its relaxed geometry (PBE-GGA, Alexandria via LeMat-Bulk).

## Properties
The calculation puts the magnetic moment at 0.262 μB/atom. Its density of states at the Fermi level is 3.092 states/eV/f.u.

extended XYZ file:
```
4
Lattice="-5.089 0.821 2.051 -2.429 4.962 -0.510 -4.307 0.640 -3.438" Properties=species:S:1:pos:R:3 pbc="T T T"
Pt -5.912 3.212 -0.948
Y 0.000 0.000 0.000
K -8.868 4.817 -1.422
K -2.956 1.606 -0.474
```

Relative energy table, unit eV/atom: version i 0.000; version ii 0.432